Record 1
Below is a crystal of Al2TeMo relaxed with PBEsol, with properties calculated at the SCAN level.

a = 3.4545 Å, b = 4.5374 Å, c = 8.7838 Å
α = 90.00°, β = 90.00°, γ = 90.00°
Closest atoms and distances in Å follow each position.
Space group Immm (No. 71)
One atom of each set of equivalent atoms:
Al1 0.0000 0.0000 0.2404 x4  2 Mo 2.73, 4 Al 2.86, 2 Te 2.86
Te1 0.0000 0.5000 0.0000 x2  4 Mo 2.85, 8 Al 2.86-3.10
Mo1 0.0000 0.5000 0.5000 x2  4 Al 2.73, 4 Te 2.85

Results
E_form (uncorrected)   0.1812 eV/atom
Crystal system   orthorhombic



Record 2
Below is a crystal of AlZn2Se relaxed with PBEsol, with properties calculated at the SCAN level.

a = 3.5048 Å, b = 4.1211 Å, c = 4.8297 Å
α = 90.00°, β = 90.00°, γ = 90.00°
Closest atoms and distances in Å follow each position.
Space group Pmmm (No. 47)
One atom of each set of equivalent atoms:
Al1 0.0000 0.0000 0.0000 x1  4 Se 2.70, 4 Zn 2.98
Zn1 0.0000 0.5000 0.5000 x1  4 Zn 2.70, 4 Se 2.98
Zn2 0.5000 0.0000 0.5000 x1  4 Zn 2.70, 4 Al 2.98
Se1 0.5000 0.5000 0.0000 x1  4 Al 2.70, 4 Zn 2.98

Results
E_form (uncorrected)   0.1791 eV/atom
Crystal system   orthorhombic
E above lowest polymorph   0.0 meV/atom



Record 3
Below is a crystal of YMgP2 relaxed with PBEsol, with properties calculated at the SCAN level.

a = 7.0489 Å, b = 7.0489 Å, c = 6.5436 Å
α = 90.00°, β = 90.00°, γ = 90.00°
Closest atoms and distances in Å follow each position.
Space group I-42d (No. 122)
One atom of each set of equivalent atoms:
Y1 0.0000 0.0000 0.0000 x4  4 P 2.73
Mg1 0.0000 0.0000 0.5000 x4  4 P 2.52
P1 0.2284 0.2500 0.6250 x8  2 Mg 2.52, 2 Y 2.73

Results
Crystal system   tetragonal
Energy of formation   -0.84 eV/atom



Record 4
Below is a crystal of Li4Fe3Co5O16 relaxed with PBEsol, with properties calculated at the SCAN level.

a = 9.6279 Å, b = 5.5390 Å, c = 9.0042 Å
α = 90.00°, β = 90.08°, γ = 90.00°
Closest atoms and distances in Å follow each position.
Space group Cm (No. 8)
One atom of each set of equivalent atoms:
Li1 0.0000 0.0000 0.0000 x2  4 O 1.73-1.87
Li2 0.0009 0.0000 0.5000 x2  4 O 1.73-1.88
Li3 0.1649 0.5000 0.3925 x2  4 O 1.86-1.89
Li4 0.3308 0.0000 0.8966 x2  4 O 1.86-1.89
Fe1 0.0842 0.2620 0.7151 x4  6 O 1.84-1.92
Fe2 0.1715 0.0000 0.2159 x2  6 O 1.83-1.89
Co1 0.1666 0.5000 0.9922 x2  6 O 1.89-1.92
Co2 0.3274 0.5000 0.7151 x2  6 O 1.85-1.93
Co3 0.3340 0.0000 0.4890 x2  6 O 1.90-1.92
Co4 0.4126 0.2435 0.2150 x4  6 O 1.84-1.92
O1 0.9998 0.0000 0.3076 x2  1 Li 1.73, 1 Fe 1.85, 2 Co 1.85
O2 0.0190 0.5000 0.8492 x2  1 Li 1.86, 2 Fe 1.89, 1 Co 1.92
O3 0.0846 0.2496 0.1068 x4  1 Li 1.87, 1 Fe 1.89, 2 Co 1.90-1.92
O4 0.1664 0.5000 0.6024 x2  2 Fe 1.84, 1 Co 1.85, 1 Li 1.89
O5 0.1681 0.0000 0.6076 x2  1 Li 1.88, 1 Co 1.92, 2 Fe 1.92
O6 0.2368 0.2826 0.8445 x4  1 Li 1.87, 1 Fe 1.88, 2 Co 1.89-1.92
O7 0.2596 0.2176 0.3460 x4  1 Li 1.86, 1 Fe 1.88, 2 Co 1.89-1.90
O8 0.3308 0.0000 0.1062 x2  1 Fe 1.83, 2 Co 1.84, 1 Li 1.89
O9 0.3342 0.5000 0.1015 x2  1 Li 1.84, 3 Co 1.89-1.91
O10 0.4185 0.2472 0.6053 x4  1 Li 1.87, 1 Fe 1.88, 2 Co 1.91-1.93
O11 0.4770 0.0000 0.3435 x2  1 Li 1.86, 3 Co 1.88-1.90
O12 0.4995 0.5000 0.8074 x2  1 Li 1.73, 1 Co 1.85, 2 Fe 1.86

Results
E_form (uncorrected)   -1.6568 eV/atom
Crystal system   monoclinic



Record 5
Below is a crystal of Ag3OsS relaxed with PBEsol, with properties calculated at the SCAN level.

a = 4.9259 Å, b = 4.9259 Å, c = 4.9259 Å
α = 90.00°, β = 90.00°, γ = 90.00°
Closest atoms and distances in Å follow each position.
Space group Pm-3m (No. 221)
One atom of each set of equivalent atoms:
Ag1 0.0000 0.0000 0.5000 x3  2 Os 2.46
Os1 0.0000 0.0000 0.0000 x1  6 Ag 2.46
S1 0.5000 0.5000 0.5000 x1  12 Ag 3.48

Results
E_form (uncorrected)   1.7322 eV/atom
Crystal system   cubic



Record 6
Below is a crystal of Lu3Si13Ir4 relaxed with PBEsol, with properties calculated at the SCAN level.

a = 8.6213 Å, b = 8.6213 Å, c = 8.6213 Å
α = 90.00°, β = 90.00°, γ = 90.00°
Closest atoms and distances in Å follow each position.
Space group Pm-3n (No. 223)
One atom of each set of equivalent atoms:
Lu1 0.0000 0.2500 0.5000 x6  12 Si 3.03-3.15, 4 Ir 3.05
Si1 0.0000 0.0000 0.0000 x2  12 Si 2.81
Si2 0.0000 0.2954 0.1377 x24  1 Si 2.37, 2 Ir 2.40
Ir1 0.2500 0.2500 0.2500 x8  6 Si 2.40

Results
E_form (uncorrected)   -0.6494 eV/atom
Crystal system   cubic



Record 7
Below is a crystal of P4Os relaxed with PBEsol, with properties calculated at the SCAN level.

a = 4.6761 Å, b = 4.6672 Å, c = 7.0933 Å
α = 90.00°, β = 99.53°, γ = 90.00°
Closest atoms and distances in Å follow each position.
Space group P2_1/c (No. 14)
One atom of each set of equivalent atoms:
P1 0.1230 0.1533 0.4118 x4  3 P 2.17-2.33, 1 Os 2.40
P2 0.2855 0.6907 0.7517 x4  2 P 2.17-2.19, 2 Os 2.36-2.37
Os1 0.5000 0.0000 0.0000 x2  6 P 2.36-2.40

Results
Crystal system   monoclinic
Energy of formation   -0.46 eV/atom
E above lowest polymorph   17.8 meV/atom



Record 8
Below is a crystal of Mn3TcSe relaxed with PBEsol, with properties calculated at the SCAN level.

a = 4.5225 Å, b = 4.5225 Å, c = 4.5225 Å
α = 90.00°, β = 90.00°, γ = 90.00°
Closest atoms and distances in Å follow each position.
Space group Pm-3m (No. 221)
One atom of each set of equivalent atoms:
Mn1 0.0000 0.0000 0.5000 x3  2 Tc 2.26
Tc1 0.0000 0.0000 0.0000 x1  6 Mn 2.26
Se1 0.5000 0.5000 0.5000 x1  12 Mn 3.20

Results
E_form (uncorrected)   0.8930 eV/atom
Crystal system   cubic



Record 9
Below is a crystal of TiRuS2N relaxed with PBEsol, with properties calculated at the SCAN level.

a = 4.6642 Å, b = 4.6642 Å, c = 3.6721 Å
α = 90.00°, β = 90.00°, γ = 90.00°
Closest atoms and distances in Å follow each position.
Space group P4/mmm (No. 123)
One atom of each set of equivalent atoms:
Ti1 0.0000 0.0000 0.0000 x1  2 N 1.84
Ru1 0.5000 0.5000 0.5000 x1  8 S 2.97, 4 N 3.30
S1 0.0000 0.5000 0.0000 x2  2 Ti 2.33
N1 0.0000 0.0000 0.5000 x1  2 Ti 1.84

Results
E_form (uncorrected)   0.3283 eV/atom
Crystal system   tetragonal
E above lowest polymorph   317.9 meV/atom



Record 10
Below is a crystal of CrCo2RhPb relaxed with PBEsol, with properties calculated at the SCAN level.

a = 4.5313 Å, b = 4.5313 Å, c = 4.9849 Å
α = 90.00°, β = 90.00°, γ = 90.00°
Closest atoms and distances in Å follow each position.
Space group P4/mmm (No. 123)
One atom of each set of equivalent atoms:
Cr1 0.0000 0.0000 0.0000 x1  4 Pb 3.20, 8 Co 3.37
Co1 0.0000 0.5000 0.5000 x2  2 Rh 2.27
Rh1 0.5000 0.5000 0.5000 x1  4 Co 2.27, 2 Pb 2.49
Pb1 0.5000 0.5000 0.0000 x1  2 Rh 2.49

Results
Crystal system   tetragonal
Energy of formation   0.96 eV/atom



Record 11
Below is a crystal of AlAs2BrF relaxed with PBEsol, with properties calculated at the SCAN level.

a = 4.7793 Å, b = 4.7793 Å, c = 4.8749 Å
α = 90.00°, β = 90.00°, γ = 90.00°
Closest atoms and distances in Å follow each position.
Space group P4/mmm (No. 123)
One atom of each set of equivalent atoms:
Al1 0.0000 0.0000 0.0000 x1  4 As 2.39, 2 Br 2.44
As1 0.0000 0.5000 0.0000 x2  2 Al 2.39
Br1 0.0000 0.0000 0.5000 x1  2 Al 2.44
F1 0.5000 0.5000 0.5000 x1  4 Br 3.38, 8 As 3.41

Results
E_form (uncorrected)   0.1762 eV/atom
Crystal system   tetragonal



Record 12
Below is a crystal of In2Ni6C relaxed with PBEsol, with properties calculated at the SCAN level.

a = 3.7888 Å, b = 3.7888 Å, c = 7.3382 Å
α = 90.00°, β = 90.00°, γ = 90.00°
Closest atoms and distances in Å follow each position.
Space group P4/mmm (No. 123)
One atom of each set of equivalent atoms:
In1 0.0000 0.0000 0.2398 x2  12 Ni 2.59-2.69
Ni1 0.0000 0.5000 0.0000 x2  4 In 2.59, 8 Ni 2.61-2.68
Ni2 0.0000 0.5000 0.5000 x2  2 C 1.89
Ni3 0.5000 0.5000 0.2446 x2  1 C 1.87
C1 0.5000 0.5000 0.5000 x1  6 Ni 1.87-1.89

Results
Crystal system   tetragonal
Energy of formation   -0.01 eV/atom